First-principles (PBE) data for a relaxed TbPu4In15 crystal, as listed in Alexandria via LeMat-Bulk.

abc: 4.649 4.649 23.315
angles: 90.00 90.00 90.00
Fractional coordinates of all 20 atoms:
1 Tb 0.000 0.000 0.000
2 Pu 0.000 0.000 0.199
3 Pu 0.000 0.000 0.400
4 Pu 0.000 0.000 0.600
5 Pu 0.000 0.000 0.801
6 In 0.000 0.500 0.100
7 In 0.000 0.500 0.300
8 In 0.000 0.500 0.500
9 In 0.000 0.500 0.700
10 In 0.000 0.500 0.900
11 In 0.500 0.000 0.100
12 In 0.500 0.000 0.300
13 In 0.500 0.000 0.500
14 In 0.500 0.000 0.700
15 In 0.500 0.000 0.900
16 In 0.500 0.500 0.000
17 In 0.500 0.500 0.200
18 In 0.500 0.500 0.400
19 In 0.500 0.500 0.600
20 In 0.500 0.500 0.800

Calculated values
* space-group type: P4/mmm, No. 123
* raw total energy: -108.24 eV per formula unit

***

First-principles (PBE) data for a relaxed TbPu2In3 crystal, as listed in Alexandria via LeMat-Bulk.

abc: 3.771 3.771 11.447
angles: 90.00 90.00 90.00
Fractional coordinates of all 6 atoms:
1 Tb 0.000 0.000 0.000
2 Pu 0.000 0.000 0.333
3 Pu 0.000 0.000 0.667
4 In 0.500 0.500 0.162
5 In 0.500 0.500 0.500
6 In 0.500 0.500 0.838

Calculated values
* space-group type: P4/mmm, No. 123
* raw total energy: -42.78 eV per formula unit

***

First-principles (PBE) data for a relaxed TbPuIn4 crystal, as listed in Alexandria via LeMat-Bulk.

abc: 6.029 6.029 6.029
angles: 60.00 60.00 60.00
Fractional coordinates of all 6 atoms:
1 Tb 0.000 0.000 0.000
2 Pu 0.750 0.750 0.750
3 In 0.375 0.375 0.375
4 In 0.375 0.375 0.875
5 In 0.375 0.875 0.375
6 In 0.875 0.375 0.375

Calculated values
* space-group type: F-43m, No. 216
* relative energy among the computed polymorphs: 75 meV per atom

***

First-principles (PBE) data for a relaxed Tb2PuIn3 crystal, as listed in Alexandria via LeMat-Bulk.

abc: 3.394 3.394 13.797
angles: 90.00 90.00 90.00
Fractional coordinates of all 6 atoms:
1 Tb 0.000 0.000 0.164
2 Tb 0.000 0.000 0.836
3 Pu 0.000 0.000 0.500
4 In 0.500 0.500 0.000
5 In 0.500 0.500 0.330
6 In 0.500 0.500 0.670

Calculated values
* space-group type: P4/mmm, No. 123
* raw total energy: -33.96 eV per formula unit

***

First-principles (PBE) data for a relaxed Tb2PuIn crystal, as listed in Alexandria via LeMat-Bulk.

abc: 10.981 10.981 10.981
angles: 18.54 18.54 18.54
Fractional coordinates of all 4 atoms:
1 Tb 0.000 0.000 0.000
2 Tb 0.173 0.173 0.173
3 Pu 0.754 0.754 0.754
4 In 0.587 0.587 0.587

Calculated values
* space-group type: R3m, No. 160
* relative energy among the computed polymorphs: 93 meV per atom

***

First-principles (PBE) data for a relaxed Tb5PuIn4 crystal, as listed in Alexandria via LeMat-Bulk.

abc: 3.551 3.551 21.724
angles: 90.00 90.00 90.00
Fractional coordinates of all 10 atoms:
1 Tb 0.000 0.000 0.000
2 Tb 0.000 0.000 0.196
3 Tb 0.000 0.000 0.390
4 Tb 0.000 0.000 0.610
5 Tb 0.000 0.000 0.804
6 Pu 0.500 0.500 0.500
7 In 0.500 0.500 0.098
8 In 0.500 0.500 0.294
9 In 0.500 0.500 0.706
10 In 0.500 0.500 0.902

Calculated values
* space-group type: P4/mmm, No. 123
* raw total energy: -51.93 eV per formula unit

***

First-principles (PBE) data for a relaxed TbPuIn3 crystal, as listed in Alexandria via LeMat-Bulk.

abc: 7.588 7.588 5.801
angles: 90.00 90.00 120.00
Fractional coordinates of all 10 atoms:
1 Tb 0.333 0.667 0.250
2 Tb 0.667 0.333 0.750
3 Pu 0.000 0.000 0.000
4 Pu 0.000 0.000 0.500
5 In 0.204 0.409 0.750
6 In 0.204 0.796 0.750
7 In 0.409 0.204 0.250
8 In 0.591 0.796 0.750
9 In 0.796 0.204 0.250
10 In 0.796 0.591 0.250

Calculated values
* space-group type: P6_3/mmc, No. 194
* raw total energy: -27.33 eV per formula unit

***

First-principles (PBE) data for a relaxed TbPu2In crystal, as listed in Alexandria via LeMat-Bulk.

abc: 5.389 5.389 5.389
angles: 60.00 60.00 60.00
Fractional coordinates of all 4 atoms:
1 Tb 0.000 0.000 0.000
2 Pu 0.250 0.250 0.250
3 Pu 0.750 0.750 0.750
4 In 0.500 0.500 0.500

Calculated values
* space-group type: Fm-3m, No. 225
* relative energy among the computed polymorphs: 223 meV per atom

***

First-principles (PBE) data for a relaxed Tb2PuIn crystal, as listed in Alexandria via LeMat-Bulk.

abc: 3.531 3.531 9.030
angles: 90.00 90.00 90.00
Fractional coordinates of all 4 atoms:
1 Tb 0.000 0.000 0.235
2 Tb 0.000 0.000 0.765
3 Pu 0.500 0.500 0.500
4 In 0.500 0.500 0.000

Calculated values
* space-group type: P4/mmm, No. 123
* relative energy among the computed polymorphs: 9 meV per atom

***

First-principles (PBE) data for a relaxed Tb4PuIn5 crystal, as listed in Alexandria via LeMat-Bulk.

abc: 3.460 3.460 22.240
angles: 90.00 90.00 90.00
Fractional coordinates of all 10 atoms:
1 Tb 0.000 0.000 0.099
2 Tb 0.000 0.000 0.296
3 Tb 0.000 0.000 0.704
4 Tb 0.000 0.000 0.901
5 Pu 0.000 0.000 0.500
6 In 0.500 0.500 0.000
7 In 0.500 0.500 0.198
8 In 0.500 0.500 0.397
9 In 0.500 0.500 0.603
10 In 0.500 0.500 0.802

Calculated values
* space-group type: P4/mmm, No. 123
* raw total energy: -50.54 eV per formula unit

***

First-principles (PBE) data for a relaxed TbPu2In crystal, as listed in Alexandria via LeMat-Bulk.

abc: 4.553 4.553 5.151
angles: 90.00 90.00 90.00
Fractional coordinates of all 4 atoms:
1 Tb 0.000 0.000 0.000
2 Pu 0.000 0.500 0.500
3 Pu 0.500 0.000 0.500
4 In 0.500 0.500 0.000

Calculated values
* space-group type: P4/mmm, No. 123
* relative energy among the computed polymorphs: 0 meV per atom

***

First-principles (PBE) data for a relaxed TbPuIn2Te4 crystal, as listed in Alexandria via LeMat-Bulk.

abc: 7.705 4.444 8.467
angles: 90.00 107.61 90.00
Fractional coordinates of all 8 atoms:
1 Tb 0.000 0.000 0.000
2 Pu 0.500 0.500 0.000
3 In 0.000 0.500 0.500
4 In 0.500 0.000 0.500
5 Te 0.237 0.500 0.221
6 Te 0.257 0.000 0.779
7 Te 0.743 0.000 0.221
8 Te 0.763 0.500 0.779

Calculated values
* space-group type: P2/m, No. 10
* energy relative to the elements, uncorrected: -833 meV/atom